(1)
! Li5In2Bi5, relaxed, DFT PBE; values from VASP
&SYSTEM
  ibrav = 0, nat = 12, ntyp = 3
/
ATOMIC_SPECIES
In 114.82 In.upf
Bi 208.98 Bi.upf
Li 6.94 Li.upf
CELL_PARAMETERS angstrom
-2.088 -0.043 -4.308
2.508 -6.068 1.505
-10.067 0.921 4.870
ATOMIC_POSITIONS crystal
In 0.906 0.811 0.224
Bi 0.887 0.775 0.546
Li 0.345 0.690 0.994
In 0.094 0.189 0.776
Bi 0.748 0.497 0.783
Bi 0.000 0.000 0.000
Li 0.655 0.310 0.006
Li 0.500 0.000 0.500
Bi 0.113 0.225 0.454
Bi 0.252 0.503 0.217
Li 0.635 0.269 0.306
Li 0.365 0.731 0.694
! ΔH_f (0 K) in eV per atom: -0.246
! SG: No. 12

(2)
! Li2In2Bi, relaxed, DFT PBE; values from VASP
&SYSTEM
  ibrav = 0, nat = 10, ntyp = 3
/
ATOMIC_SPECIES
Li 6.94 Li.upf
In 114.82 In.upf
Bi 208.98 Bi.upf
CELL_PARAMETERS angstrom
-1.585 4.379 -6.971
-8.117 -2.016 0.579
-0.543 2.712 1.827
ATOMIC_POSITIONS crystal
Li 0.326 0.174 0.500
Li 0.674 0.826 0.500
In 0.375 0.875 0.000
Li 0.826 0.326 0.500
In 0.125 0.375 0.000
Bi 0.500 0.500 0.000
In 0.875 0.625 0.000
Bi 0.000 0.000 0.000
In 0.625 0.125 0.000
Li 0.174 0.674 0.500
! Relative energy among the computed polymorphs in meV per atom: 19
! ΔH_f (0 K) in eV per atom: -0.193
! SG: No. 127

(3)
! Li7InBi4, relaxed, DFT PBE; values from VASP
&SYSTEM
  ibrav = 0, nat = 12, ntyp = 3
/
ATOMIC_SPECIES
Bi 208.98 Bi.upf
Li 6.94 Li.upf
In 114.82 In.upf
CELL_PARAMETERS angstrom
5.188 0.000 0.000
2.594 8.833 -0.234
2.594 0.059 6.162
ATOMIC_POSITIONS crystal
Bi 0.283 0.309 0.125
Bi 0.424 0.772 0.380
Bi 0.717 0.691 0.875
Li 0.920 0.351 0.809
Bi 0.576 0.228 0.620
Li 0.645 0.453 0.257
Li 0.782 0.906 0.530
In 0.000 0.000 0.000
Li 0.500 0.000 0.000
Li 0.355 0.547 0.743
Li 0.218 0.094 0.470
Li 0.080 0.649 0.191
! ΔH_f (0 K) in eV per atom: -0.317
! SG: No. 12

(4)
! Li4In5Bi2, relaxed, DFT PBE; values from VASP
&SYSTEM
  ibrav = 0, nat = 11, ntyp = 3
/
ATOMIC_SPECIES
Li 6.94 Li.upf
In 114.82 In.upf
Bi 208.98 Bi.upf
CELL_PARAMETERS angstrom
0.015 0.917 -4.441
-3.828 -10.979 -2.279
-5.150 -0.090 2.280
ATOMIC_POSITIONS crystal
Li 0.694 0.733 0.388
In 0.500 0.000 0.000
In 0.217 0.916 0.434
Bi 0.587 0.327 0.175
In 0.142 0.553 0.283
Li 0.306 0.267 0.612
In 0.783 0.084 0.566
In 0.858 0.447 0.717
Li 0.958 0.830 0.916
Bi 0.413 0.673 0.825
Li 0.042 0.170 0.084
! ΔH_f (0 K) in eV per atom: -0.194
! SG: No. 12

(5)
! LiInBi2, relaxed, DFT PBE; values from VASP
&SYSTEM
  ibrav = 0, nat = 8, ntyp = 3
/
ATOMIC_SPECIES
Li 6.94 Li.upf
Bi 208.98 Bi.upf
In 114.82 In.upf
CELL_PARAMETERS angstrom
-3.021 3.566 -0.353
-3.842 -3.130 1.256
3.801 -0.904 9.375
ATOMIC_POSITIONS crystal
Li 0.382 0.250 0.689
Bi 0.976 0.750 0.112
Bi 0.732 0.250 0.490
In 0.365 0.750 0.842
Li 0.618 0.750 0.311
Bi 0.268 0.750 0.510
Bi 0.024 0.250 0.888
In 0.635 0.250 0.158
! ΔH_f (0 K) in eV per atom: -0.124
! SG: No. 11

(6)
! NaLi2In2Bi2, relaxed, DFT PBE; values from VASP
&SYSTEM
  ibrav = 0, nat = 7, ntyp = 4
/
ATOMIC_SPECIES
In 114.82 In.upf
Na 22.99 Na.upf
Bi 208.98 Bi.upf
Li 6.94 Li.upf
CELL_PARAMETERS angstrom
5.132 0.000 0.000
2.566 4.444 0.000
2.566 1.481 8.602
ATOMIC_POSITIONS crystal
In 0.557 0.557 0.328
Na 0.000 0.000 0.000
Bi 0.257 0.257 0.228
In 0.443 0.443 0.672
Bi 0.743 0.743 0.772
Li 0.141 0.141 0.576
Li 0.859 0.859 0.424
! ΔH_f (0 K) in eV per atom: -0.226
! SG: No. 166

(7)
! Na2Li3InBi4, relaxed, DFT PBE; values from VASP
&SYSTEM
  ibrav = 0, nat = 10, ntyp = 4
/
ATOMIC_SPECIES
Bi 208.98 Bi.upf
In 114.82 In.upf
Li 6.94 Li.upf
Na 22.99 Na.upf
CELL_PARAMETERS angstrom
4.708 0.000 0.000
0.000 4.708 0.000
0.000 0.000 12.769
ATOMIC_POSITIONS crystal
Bi 0.500 0.500 0.000
Bi 0.000 0.000 0.000
In 0.500 0.500 0.500
Li 0.000 0.000 0.500
Bi 0.500 0.000 0.644
Na 0.000 0.500 0.749
Na 0.500 0.000 0.251
Bi 0.000 0.500 0.356
Li 0.000 0.500 0.141
Li 0.500 0.000 0.859
! ΔH_f (0 K) in eV per atom: -0.310
! SG: No. 115

(8)
! LiInNiBi, relaxed, DFT PBE; values from VASP
&SYSTEM
  ibrav = 0, nat = 4, ntyp = 4
/
ATOMIC_SPECIES
Bi 208.98 Bi.upf
In 114.82 In.upf
Li 6.94 Li.upf
Ni 58.69 Ni.upf
CELL_PARAMETERS angstrom
-0.684 -4.446 1.578
2.775 -3.541 -1.576
3.188 -2.010 2.920
ATOMIC_POSITIONS crystal
Bi 0.000 0.000 0.000
In 0.500 0.500 0.500
Li 0.750 0.750 0.750
Ni 0.250 0.250 0.250
! ΔH_f (0 K) in eV per atom: -0.070
! SG: No. 216

(9)
! LiIn4BiO8, relaxed, DFT PBE; values from VASP
&SYSTEM
  ibrav = 0, nat = 14, ntyp = 4
/
ATOMIC_SPECIES
In 114.82 In.upf
O 16.00 O.upf
Bi 208.98 Bi.upf
Li 6.94 Li.upf
CELL_PARAMETERS angstrom
6.610 0.000 0.000
3.305 5.725 0.000
3.305 1.908 5.262
ATOMIC_POSITIONS crystal
In 0.000 0.501 0.499
O 0.239 0.239 0.729
Bi 0.382 0.382 0.855
In 0.501 0.000 0.499
O 0.239 0.794 0.729
O 0.794 0.239 0.729
O 0.239 0.239 0.284
O 0.753 0.753 0.271
O 0.753 0.224 0.271
In 0.000 0.000 0.499
O 0.224 0.753 0.271
In 0.618 0.618 0.145
Li 0.004 0.004 0.987
O 0.755 0.755 0.734
! Energy relative to the elements, uncorrected in eV per atom: -1.51
! SG: No. 160

(10)
! LiInBi2O6, relaxed, DFT PBE; values from VASP
&SYSTEM
  ibrav = 0, nat = 10, ntyp = 4
/
ATOMIC_SPECIES
In 114.82 In.upf
O 16.00 O.upf
Bi 208.98 Bi.upf
Li 6.94 Li.upf
CELL_PARAMETERS angstrom
5.669 0.000 0.000
2.835 4.910 0.000
2.834 1.637 5.048
ATOMIC_POSITIONS crystal
In 0.811 0.811 0.568
O 0.195 0.937 0.243
O 0.101 0.411 0.748
O 0.740 0.101 0.748
Bi 0.017 0.017 0.948
Bi 0.525 0.525 0.424
O 0.625 0.195 0.243
O 0.411 0.740 0.748
Li 0.299 0.299 0.103
O 0.937 0.625 0.243
! Energy relative to the elements, uncorrected in eV per atom: -1.27
! SG: No. 146

(11)
! LiInBi2O5, relaxed, DFT PBE; values from VASP
&SYSTEM
  ibrav = 0, nat = 18, ntyp = 4
/
ATOMIC_SPECIES
O 16.00 O.upf
Bi 208.98 Bi.upf
In 114.82 In.upf
Li 6.94 Li.upf
CELL_PARAMETERS angstrom
3.384 0.000 0.000
-1.692 7.280 0.000
0.000 0.000 10.467
ATOMIC_POSITIONS crystal
O 0.935 0.870 0.560
O 0.507 0.015 0.295
O 0.065 0.130 0.060
Bi 0.137 0.274 0.689
O 0.361 0.721 0.043
O 0.717 0.434 0.139
In 0.792 0.583 0.491
Bi 0.104 0.208 0.260
O 0.703 0.406 0.858
In 0.208 0.417 0.991
Li 0.512 0.024 0.989
O 0.493 0.985 0.795
O 0.297 0.594 0.358
Bi 0.896 0.792 0.760
Li 0.488 0.976 0.489
O 0.639 0.279 0.543
O 0.283 0.566 0.639
Bi 0.863 0.726 0.189
! Energy relative to the elements, uncorrected in eV per atom: -1.39
! SG: No. 36

(12)
! LiIn2BiO6, relaxed, DFT PBE; values from VASP
&SYSTEM
  ibrav = 0, nat = 10, ntyp = 4
/
ATOMIC_SPECIES
O 16.00 O.upf
Bi 208.98 Bi.upf
In 114.82 In.upf
Li 6.94 Li.upf
CELL_PARAMETERS angstrom
-5.473 -0.297 0.787
-3.144 -2.929 -3.492
-2.248 -5.110 1.920
ATOMIC_POSITIONS crystal
O 0.220 0.928 0.244
Bi 0.317 0.317 0.048
In 0.523 0.523 0.430
O 0.123 0.414 0.754
O 0.710 0.123 0.754
Li 0.797 0.797 0.610
O 0.928 0.608 0.244
O 0.414 0.710 0.754
O 0.608 0.220 0.244
In 0.022 0.022 0.934
! Energy relative to the elements, uncorrected in eV per atom: -1.37
! SG: No. 146

(13)
! Li2InBiO4, relaxed, DFT PBE; values from VASP
&SYSTEM
  ibrav = 0, nat = 16, ntyp = 4
/
ATOMIC_SPECIES
O 16.00 O.upf
Li 6.94 Li.upf
Bi 208.98 Bi.upf
In 114.82 In.upf
CELL_PARAMETERS angstrom
-6.504 -0.431 -1.568
1.997 -4.396 -4.651
1.724 -1.046 6.099
ATOMIC_POSITIONS crystal
O 0.229 0.277 0.984
Li 0.500 0.000 0.000
O 0.749 0.263 0.510
Li 0.500 0.000 0.500
O 0.771 0.723 0.016
Bi 0.500 0.500 0.500
O 0.223 0.271 0.516
Li 0.500 0.500 0.000
O 0.251 0.737 0.490
O 0.763 0.249 0.010
In 0.000 0.500 0.000
O 0.777 0.729 0.484
O 0.237 0.751 0.990
Li 0.000 0.000 0.500
In 0.000 0.500 0.500
Bi 0.000 0.000 0.000
! Energy relative to the elements, uncorrected in eV per atom: -1.49
! SG: No. 15

(14)
! LiPaInBi, relaxed, DFT PBE; values from VASP
&SYSTEM
  ibrav = 0, nat = 4, ntyp = 4
/
ATOMIC_SPECIES
Pa 231.04 Pa.upf
Li 6.94 Li.upf
In 114.82 In.upf
Bi 208.98 Bi.upf
CELL_PARAMETERS angstrom
5.258 0.000 0.000
2.629 4.554 0.000
2.629 1.518 4.294
ATOMIC_POSITIONS crystal
Pa 0.500 0.500 0.500
Li 0.000 0.000 0.000
In 0.250 0.250 0.250
Bi 0.750 0.750 0.750
! ΔH_f (0 K) in eV per atom: -0.014
! SG: No. 216

(15)
! LiInBi2Pb, relaxed, DFT PBE; values from VASP
&SYSTEM
  ibrav = 0, nat = 5, ntyp = 4
/
ATOMIC_SPECIES
In 114.82 In.upf
Li 6.94 Li.upf
Bi 208.98 Bi.upf
Pb 207.20 Pb.upf
CELL_PARAMETERS angstrom
5.254 0.000 0.000
0.000 5.346 0.000
0.000 0.000 5.254
ATOMIC_POSITIONS crystal
In 0.500 0.500 0.500
Li 0.000 0.000 0.000
Bi 0.500 0.000 0.000
Pb 0.000 0.500 0.000
Bi 0.000 0.000 0.500
! ΔH_f (0 K) in eV per atom: 0.137
! SG: No. 123

(16)
! LiInBiPb, relaxed, DFT PBE; values from VASP
&SYSTEM
  ibrav = 0, nat = 4, ntyp = 4
/
ATOMIC_SPECIES
Pb 207.20 Pb.upf
Li 6.94 Li.upf
Bi 208.98 Bi.upf
In 114.82 In.upf
CELL_PARAMETERS angstrom
-0.979 0.371 4.537
0.130 -4.754 0.417
4.821 0.222 1.023
ATOMIC_POSITIONS crystal
Pb 0.500 0.000 0.500
Li 0.000 0.000 0.000
Bi 0.500 0.500 0.000
In 0.000 0.500 0.500
! Relative energy among the computed polymorphs in meV per atom: 0
! ΔH_f (0 K) in eV per atom: -0.151
! SG: No. 47

(17)
! Li4InBi3Pb2, relaxed, DFT PBE; values from VASP
&SYSTEM
  ibrav = 0, nat = 10, ntyp = 4
/
ATOMIC_SPECIES
In 114.82 In.upf
Bi 208.98 Bi.upf
Li 6.94 Li.upf
Pb 207.20 Pb.upf
CELL_PARAMETERS angstrom
-2.242 2.474 2.991
-2.152 -3.667 1.419
9.381 -2.110 8.775
ATOMIC_POSITIONS crystal
In 0.500 0.500 0.500
Bi 0.000 0.000 0.500
Bi 0.000 0.500 0.146
Bi 0.500 0.000 0.854
Li 0.000 0.000 0.000
Li 0.000 0.500 0.354
Pb 0.500 0.000 0.244
Pb 0.000 0.500 0.756
Li 0.500 0.000 0.646
Li 0.500 0.500 0.000
! ΔH_f (0 K) in eV per atom: -0.205
! SG: No. 115

(18)
! Li2InBiPb, relaxed, DFT PBE; values from VASP
&SYSTEM
  ibrav = 0, nat = 5, ntyp = 4
/
ATOMIC_SPECIES
Li 6.94 Li.upf
Pb 207.20 Pb.upf
Bi 208.98 Bi.upf
In 114.82 In.upf
CELL_PARAMETERS angstrom
-4.083 -0.581 2.994
-3.274 -1.726 -4.801
1.312 -4.851 0.849
ATOMIC_POSITIONS crystal
Li 0.500 0.000 0.000
Pb 0.500 0.500 0.500
Bi 0.000 0.000 0.000
Li 0.000 0.000 0.500
In 0.000 0.500 0.000
! ΔH_f (0 K) in eV per atom: 0.123
! SG: No. 123

(19)
! LiInBiPb, relaxed, DFT PBE; values from VASP
&SYSTEM
  ibrav = 0, nat = 4, ntyp = 4
/
ATOMIC_SPECIES
In 114.82 In.upf
Li 6.94 Li.upf
Pb 207.20 Pb.upf
Bi 208.98 Bi.upf
CELL_PARAMETERS angstrom
5.435 0.000 0.000
2.717 4.707 0.000
2.717 1.569 4.437
ATOMIC_POSITIONS crystal
In 0.750 0.750 0.750
Li 0.500 0.500 0.500
Pb 0.000 0.000 0.000
Bi 0.250 0.250 0.250
! Relative energy among the computed polymorphs in meV per atom: 83
! ΔH_f (0 K) in eV per atom: -0.068
! SG: No. 216

(20)
! LiInBiPd, relaxed, DFT PBE; values from VASP
&SYSTEM
  ibrav = 0, nat = 4, ntyp = 4
/
ATOMIC_SPECIES
In 114.82 In.upf
Pd 106.42 Pd.upf
Bi 208.98 Bi.upf
Li 6.94 Li.upf
CELL_PARAMETERS angstrom
-4.723 1.147 -0.431
-2.246 -0.488 -4.304
-3.318 -3.521 -0.635
ATOMIC_POSITIONS crystal
In 0.250 0.250 0.250
Pd 0.500 0.500 0.500
Bi 0.750 0.750 0.750
Li 0.000 0.000 0.000
! ΔH_f (0 K) in eV per atom: -0.320
! SG: No. 216